BaCrIO2 | PBE with a Hubbard U | optimized geometry

CIF file:
```
data_BaCrIO2
_chemical_formula_sum 'Ba1 Cr1 I1 O2'
_cell_length_a 4.5315
_cell_length_b 4.5315
_cell_length_c 7.2798
_cell_angle_alpha 90.00
_cell_angle_beta 90.00
_cell_angle_gamma 90.00
_symmetry_space_group_name_H-M 'P 1'
_symmetry_Int_Tables_number 1
loop_
_symmetry_equiv_pos_as_xyz
'x,y,z'
loop_
_atom_site_label
_atom_site_fract_x
_atom_site_fract_y
_atom_site_fract_z
Ba1 0.0000 0.0000 0.0000
Cr1 0.5000 0.5000 0.5000
I1 0.0000 0.0000 0.5000
O1 0.0000 0.5000 0.0000
O2 0.5000 0.0000 0.0000
```

offset from the most stable computed form = 1470 meV/atom
final energy = -4.593 eV/atom